# 1
This record from the Alexandria database describes Ca2NdBr after structural relaxation. The functional is PBE-GGA.

a b c (Å): 3.664 3.664 10.040
angles (deg): 90.00 90.00 90.00
Space group P4/mmm (No. 123)
One atom of each set of equivalent atoms:
Ca (0.000, 0.000, 0.223) (multiplicity 2)
Nd (0.500, 0.500, 0.500) (multiplicity 1)
Br (0.500, 0.500, 0.000) (multiplicity 1)

Calculated values
- Energy relative to the lowest polymorph listed for this composition: 0.0945 eV per atom


# 2
This record from the Alexandria database describes CaNdBr4 after structural relaxation. The functional is PBE-GGA.

a b c (Å): 7.548 3.966 7.624
angles (deg): 90.00 106.41 90.00
Space group P2/m (No. 10)
One atom of each set of equivalent atoms:
Ca (0.000, 0.000, 0.000) (multiplicity 1)
Nd (0.000, 0.500, 0.500) (multiplicity 1)
Br (0.228, 0.500, 0.237) (multiplicity 2)
Br (0.242, 0.000, 0.762) (multiplicity 2)

Calculated values
- Energy relative to the lowest polymorph listed for this composition: 0.0000 eV per atom


# 3
This record from the Alexandria database describes CaNdBr after structural relaxation. The functional is PBE-GGA.

a b c (Å): 3.8041 3.8041 15.2169
angles (deg): 90.00 90.00 120.00
Space group P-6m2 (No. 187)
One atom of each set of equivalent atoms:
Ca (0.0000, 0.0000, 0.0000) (multiplicity 1)
Ca (0.3333, 0.6667, 0.5000) (multiplicity 1)
Nd (0.3333, 0.6667, 0.2035) (multiplicity 2)
Br (0.0000, 0.0000, 0.3596) (multiplicity 2)


# 4
This record from the Alexandria database describes Ca2NdBr after structural relaxation. The functional is PBE-GGA.

a b c (Å): 3.8299 3.8299 31.6337
angles (deg): 90.00 90.00 120.00
Space group R-3m (No. 166, hexagonal axes)
One atom of each set of equivalent atoms:
Ca (0.0000, 0.0000, 0.2383) (multiplicity 6)
Nd (0.0000, 0.0000, 0.0000) (multiplicity 3)
Br (0.0000, 0.0000, 0.5000) (multiplicity 3)

Calculated values
- Energy relative to the lowest polymorph listed for this composition: 0.0000 eV per atom


# 5
This record from the Alexandria database describes CaNdBr5 after structural relaxation. The functional is PBE-GGA.

a b c (Å): 8.632 4.251 14.024
angles (deg): 90.00 94.49 90.00
Space group P2_1/m (No. 11)
One atom of each set of equivalent atoms:
Ca (0.086, 0.250, 0.133) (multiplicity 2)
Nd (0.413, 0.750, 0.347) (multiplicity 2)
Br (0.077, 0.750, 0.310) (multiplicity 2)
Br (0.133, 0.250, 0.927) (multiplicity 2)
Br (0.321, 0.250, 0.483) (multiplicity 2)
Br (0.342, 0.750, 0.136) (multiplicity 2)
Br (0.383, 0.750, 0.707) (multiplicity 2)


# 6
This record from the Alexandria database describes CaNdBr4 after structural relaxation. The functional is PBE-GGA.

a b c (Å): 5.878 5.878 12.124
angles (deg): 90.00 90.00 90.00
Space group I-4m2 (No. 119)
One atom of each set of equivalent atoms:
Ca (0.000, 0.000, 0.000) (multiplicity 2)
Nd (0.000, 0.500, 0.750) (multiplicity 2)
Br (0.000, 0.000, 0.244) (multiplicity 4)
Br (0.000, 0.500, 0.503) (multiplicity 4)

Calculated values
- Energy relative to the lowest polymorph listed for this composition: 0.0690 eV per atom


# 7
This record from the Alexandria database describes CaNdBr6 after structural relaxation. The functional is PBE-GGA.

a b c (Å): 11.536 11.536 11.536
angles (deg): 90.00 90.00 90.00
Space group Fm-3m (No. 225)
One atom of each set of equivalent atoms:
Ca (0.000, 0.000, 0.000) (multiplicity 4)
Nd (0.000, 0.000, 0.500) (multiplicity 4)
Br (0.000, 0.000, 0.250) (multiplicity 24)


# 8
This record from the Alexandria database describes CaNdBr2 after structural relaxation. The functional is PBE-GGA.

a b c (Å): 3.9657 3.9657 29.2957
angles (deg): 90.00 90.00 120.00
Space group R-3m (No. 166, hexagonal axes)
One atom of each set of equivalent atoms:
Ca (0.0000, 0.0000, 0.0000) (multiplicity 3)
Nd (0.0000, 0.0000, 0.5000) (multiplicity 3)
Br (0.0000, 0.0000, 0.3935) (multiplicity 6)


# 9
This record from the Alexandria database describes RbCa2NdBr8 after structural relaxation. The functional is PBE-GGA.

a b c (Å): 6.842 9.225 7.164
angles (deg): 90.00 90.46 90.00
Space group P2/m (No. 10)
One atom of each set of equivalent atoms:
Rb (0.000, 0.000, 0.000) (multiplicity 1)
Ca (0.500, 0.246, 0.500) (multiplicity 2)
Nd (0.000, 0.500, 0.000) (multiplicity 1)
Br (0.248, 0.283, 0.170) (multiplicity 4)
Br (0.265, 0.500, 0.669) (multiplicity 2)
Br (0.274, 0.000, 0.623) (multiplicity 2)


# 10
This record from the Alexandria database describes RbCaNdBr6 after structural relaxation. The functional is PBE-GGA.

a b c (Å): 7.6136 7.6136 14.9617
angles (deg): 90.00 90.00 120.00
Space group P-31c (No. 163)
One atom of each set of equivalent atoms:
Rb (0.0000, 0.0000, 0.0000) (multiplicity 2)
Ca (0.3333, 0.6667, 0.2500) (multiplicity 2)
Nd (0.3333, 0.6667, 0.7500) (multiplicity 2)
Br (0.0007, 0.3747, 0.6387) (multiplicity 12)


# 11
This record from the Alexandria database describes CaNdTlBr6 after structural relaxation. The functional is PBE-GGA.

a b c (Å): 7.5726 7.5726 14.3886
angles (deg): 90.00 90.00 120.00
Space group P-31c (No. 163)
One atom of each set of equivalent atoms:
Ca (0.3333, 0.6667, 0.2500) (multiplicity 2)
Nd (0.3333, 0.6667, 0.7500) (multiplicity 2)
Tl (0.0000, 0.0000, 0.0000) (multiplicity 2)
Br (0.0007, 0.3684, 0.6352) (multiplicity 12)


# 12
This record from the Alexandria database describes Ca3Ni5Br12 after structural relaxation. The functional is PBE-GGA.

a b c (Å): 16.011 16.011 16.011
angles (deg): 90.00 90.00 90.00
Space group Ia-3d (No. 230)
One atom of each set of equivalent atoms:
Ca (0.000, 0.250, 0.125) (multiplicity 24)
Ni (0.000, 0.000, 0.000) (multiplicity 16)
Ni (0.000, 0.250, 0.375) (multiplicity 24)
Br (0.029, 0.057, 0.649) (multiplicity 96)


# 13
This record from the Alexandria database describes CaNiBr2 after structural relaxation. The functional is PBE-GGA.

a b c (Å): 4.2884 4.2884 16.7258
angles (deg): 90.00 90.00 120.00
Space group R-3m (No. 166, hexagonal axes)
One atom of each set of equivalent atoms:
Ca (0.0000, 0.0000, 0.0000) (multiplicity 3)
Ni (0.0000, 0.0000, 0.5000) (multiplicity 3)
Br (0.0000, 0.0000, 0.2377) (multiplicity 6)

Calculated values
- Energy relative to the lowest polymorph listed for this composition: 0.3989 eV per atom


# 14
This record from the Alexandria database describes CaNiBr2 after structural relaxation. The functional is PBE-GGA.

a b c (Å): 3.823 3.837 6.511
angles (deg): 90.00 104.98 90.00
Space group P2/m (No. 10)
One atom of each set of equivalent atoms:
Ca (0.000, 0.000, 0.000) (multiplicity 1)
Ni (0.000, 0.000, 0.500) (multiplicity 1)
Br (0.297, 0.500, 0.734) (multiplicity 2)

Calculated values
- Energy relative to the lowest polymorph listed for this composition: 0.4252 eV per atom


# 15
This record from the Alexandria database describes CaNiBr2 after structural relaxation. The functional is PBE-GGA.

a b c (Å): 4.235 8.039 8.201
angles (deg): 110.69 104.34 96.30
Space group P1 (No. 1)
One atom of each set of equivalent atoms:
Ca (0.000, 0.000, 0.000) (multiplicity 1)
Ca (0.244, 0.070, 0.542) (multiplicity 1)
Ni (0.464, 0.761, 0.975) (multiplicity 1)
Ni (0.594, 0.012, 0.276) (multiplicity 1)
Br (0.272, 0.778, 0.700) (multiplicity 1)
Br (0.467, 0.289, 0.347) (multiplicity 1)
Br (0.681, 0.732, 0.246) (multiplicity 1)
Br (0.916, 0.247, 0.812) (multiplicity 1)

Calculated values
- Energy relative to the lowest polymorph listed for this composition: 0.0702 eV per atom


# 16
This record from the Alexandria database describes CaNiBr2 after structural relaxation. The functional is PBE-GGA.

a b c (Å): 15.398 4.026 8.410
angles (deg): 90.00 122.04 90.00
Space group Cm (No. 8)
One atom of each set of equivalent atoms:
Ca (0.000, 0.000, 0.000) (multiplicity 2)
Ca (0.178, 0.500, 0.613) (multiplicity 2)
Ni (0.001, 0.500, 0.274) (multiplicity 2)
Ni (0.022, 0.000, 0.482) (multiplicity 2)
Br (0.121, 0.000, 0.804) (multiplicity 2)
Br (0.145, 0.500, 0.229) (multiplicity 2)
Br (0.353, 0.000, 0.719) (multiplicity 2)
Br (0.386, 0.500, 0.181) (multiplicity 2)

Calculated values
- Energy relative to the lowest polymorph listed for this composition: 0.0468 eV per atom


# 17
This record from the Alexandria database describes CaNiBr2 after structural relaxation. The functional is PBE-GGA.

a b c (Å): 4.059 7.832 7.838
angles (deg): 63.92 84.60 85.15
Space group P1 (No. 1)
One atom of each set of equivalent atoms:
Ca (0.000, 0.000, 0.000) (multiplicity 1)
Ca (0.066, 0.400, 0.475) (multiplicity 1)
Ni (0.018, 0.371, 0.925) (multiplicity 1)
Ni (0.553, 0.306, 0.773) (multiplicity 1)
Br (0.167, 0.186, 0.229) (multiplicity 1)
Br (0.526, 0.060, 0.687) (multiplicity 1)
Br (0.533, 0.680, 0.195) (multiplicity 1)
Br (0.752, 0.610, 0.679) (multiplicity 1)

Calculated values
- Energy relative to the lowest polymorph listed for this composition: 0.0594 eV per atom


# 18
This record from the Alexandria database describes Ca3NiBr after structural relaxation. The functional is PBE-GGA.

a b c (Å): 5.469 5.469 5.469
angles (deg): 90.00 90.00 90.00
Space group Pm-3m (No. 221)
One atom of each set of equivalent atoms:
Ca (0.000, 0.000, 0.500) (multiplicity 3)
Ni (0.000, 0.000, 0.000) (multiplicity 1)
Br (0.500, 0.500, 0.500) (multiplicity 1)

Calculated values
- Energy relative to the lowest polymorph listed for this composition: 0.0000 eV per atom


# 19
This record from the Alexandria database describes CaNiBr2 after structural relaxation. The functional is PBE-GGA.

a b c (Å): 12.780 5.975 6.567
angles (deg): 90.00 110.73 90.00
Space group C2 (No. 5)
One atom of each set of equivalent atoms:
Ca (0.114, 0.000, 0.334) (multiplicity 4)
Ni (0.097, 0.745, 0.648) (multiplicity 4)
Br (0.129, 0.027, 0.896) (multiplicity 4)
Br (0.139, 0.493, 0.420) (multiplicity 4)

Calculated values
- Energy relative to the lowest polymorph listed for this composition: 0.1104 eV per atom


# 20
This record from the Alexandria database describes CaNiBr2 after structural relaxation. The functional is PBE-GGA.

a b c (Å): 7.185 7.185 7.185
angles (deg): 90.00 90.00 90.00
Space group F-43m (No. 216)
One atom of each set of equivalent atoms:
Ca (0.000, 0.000, 0.000) (multiplicity 4)
Ni (0.250, 0.250, 0.750) (multiplicity 4)
Br (0.000, 0.000, 0.500) (multiplicity 4)
Br (0.250, 0.250, 0.250) (multiplicity 4)

Calculated values
- Energy relative to the lowest polymorph listed for this composition: 0.8316 eV per atom


| no. | theoretical density (kg/m³) | DFT total energy (eV per atom) | ΔE_f (raw) (eV/atom) |
| --- | --- | --- | --- |
| 1 | 3750 | -3.197 | -0.59 |
| 2 | 3822 | -4.047 | -1.80 |
| 3 | 4602 | -3.575 | -0.76 |
| 4 | 3772 | -3.292 | -0.68 |
| 5 | 3780 | -4.059 | -1.90 |
| 6 | 3996 | -3.978 | -1.73 |
| 7 | 2872 | -3.626 | -1.53 |
| 8 | 4297 | -3.687 | -1.16 |
| 9 | 3486 | -3.826 | -1.90 |
| 10 | 3313 | -3.907 | -1.93 |
| 11 | 4035 | -3.850 | -1.72 |
| 12 | 4443 | -3.607 | -0.86 |
| 13 | 4836 | -3.433 | -0.65 |
| 14 | 4655 | -3.407 | -0.62 |
| 15 | 3477 | -3.762 | -0.98 |
| 16 | 3886 | -3.785 | -1.00 |
| 17 | 3859 | -3.773 | -0.99 |
| 18 | 2628 | -3.066 | -0.37 |
| 19 | 3663 | -3.722 | -0.94 |
| 20 | 4630 | -3.001 | -0.22 |